[1]
DFT (PBE) results for crystalline Na3Hg5Bi at its relaxed geometry.

Computed properties:
**E_tot**: -0.092 Ry/atom
**Fermi-level density of states**: 0.298 states/eV/atom
**Theoretical density**: 8.76 g cm⁻³
**Formation energy**: -215 meV/atom

The structure in extended XYZ format:
```
18
Lattice="9.1703 0.0000 0.0000 -4.5852 7.9418 0.0000 0.0000 0.0000 6.6680" Properties=species:S:1:pos:R:3 pbc="T T T"
Na -1.5841 2.7437 1.6670
Na -3.0011 5.1981 5.0010
Na 3.1682 0.0000 1.6670
Na 1.5841 2.7437 5.0010
Na 6.0022 0.0000 5.0010
Na 3.0011 5.1981 1.6670
Hg -1.4870 2.5755 5.0010
Hg -3.0982 5.3662 1.6670
Hg 2.9740 0.0000 5.0010
Hg 1.4870 2.5755 1.6670
Hg 0.0000 5.2945 0.0000
Hg 0.0000 5.2945 3.3340
Hg 4.5852 2.6472 0.0000
Hg 4.5852 2.6472 3.3340
Hg 6.1964 0.0000 1.6670
Hg 3.0982 5.3662 5.0010
Bi 0.0000 0.0000 0.0000
Bi 0.0000 0.0000 3.3340
```

[2]
DFT (PBE) results for crystalline KFeP at its relaxed geometry.

Computed properties:
**E_tot**: -0.363 Ry/atom
**Fermi-level density of states**: 0.697 states/eV/atom
**Theoretical density**: 3.56 g cm⁻³
**Formation energy**: 51 meV/atom

The structure in extended XYZ format:
```
3
Lattice="-1.5726 1.5726 5.9329 1.5726 -1.5726 5.9329 1.5726 1.5726 -5.9329" Properties=species:S:1:pos:R:3 pbc="T T T"
K 0.0000 0.0000 0.0000
Fe 0.0000 0.0000 3.2112
P 0.0000 0.0000 8.5255
```

[3]
DFT (PBE) results for crystalline MgMo2Br at its relaxed geometry.

Computed properties:
**E_tot**: -0.449 Ry/atom
**Uncorrected formation energy**: 127 meV per atom
**Fermi-level density of states**: 0.651 states/eV/atom
**Theoretical density**: 5.97 g cm⁻³

The structure in extended XYZ format:
```
4
Lattice="3.3136 0.0000 0.0000 0.0000 3.2004 0.0000 -0.2273 0.0000 7.7603" Properties=species:S:1:pos:R:3 pbc="T T T"
Mg 0.0000 0.0000 0.0000
Mo -0.1004 0.0000 4.6469
Mo 1.4166 1.6002 5.9017
Br -0.0422 1.6002 2.4426
```